{
  "formula": "BeSiW2",
  "functional": "PBE",
  "state": "optimized geometry",
  "cell": [[4.4020, -0.2662, 0.0000], [1.0894, 4.2734, 0.0000], [-2.7457, -2.0036, 2.8099]],
  "species": ["W", "W", "Be", "Si"],
  "frac_coords": [[0.0000, 0.0000, 0.0000], [0.5000, 0.5000, 0.0000], [0.2500, 0.7500, 0.5000], [0.7500, 0.2500, 0.5000]],
  "dos_ef_per_ev_cell": 2.745,
  "formation_energy_uncorrected_ev_per_atom": 0.21,
  "magmom_total_mub_per_atom": 0.00
}